The following is a DFT calculation (PBE) of a relaxed SbPIr2 crystal.

Unit cell a=3.0117 b=3.0117 c=8.0783 alpha=90.00 beta=90.00 gamma=90.00
With the nearest neighbours (Å) after each atom.
Space group P4mm (No. 99)
Asymmetric unit:
Sb 0.0000 0.0000 0.0000 (multiplicity 1)  4 Ir 2.73, 4 Sb 3.01
P 0.5000 0.5000 0.6144 (multiplicity 1)  4 Ir 2.45
Ir 0.0000 0.0000 0.4657 (multiplicity 1)  4 P 2.45
Ir 0.5000 0.5000 0.2106 (multiplicity 1)  4 Sb 2.73, 8 Ir 2.96-3.01

Summary:
* formation energy without anion corrections: 0.06 eV per atom
* D(E_F): 0.872 states/eV per atom
* energy relative to the lowest polymorph listed for this composition: 338 meV/atom